This record from Alexandria via LeMat-Bulk describes LiTb2CrO6 after structural relaxation. The functional is GGA+U.

E_tot (Ry per atom): -0.5446
Space-group type: P2_1/c (14)
V (Å³ per cell): 222.3

CIF file:
```
data_LiTb2CrO6
_space_group_name_H-M_alt 'P 1'
_space_group_IT_number 1
_cell_length_a 5.275
_cell_length_b 5.700
_cell_length_c 7.396
_cell_angle_alpha 90.00
_cell_angle_beta 91.07
_cell_angle_gamma 90.00
loop_
_space_group_symop_operation_xyz
'x,y,z'
loop_
_atom_site_label
_atom_site_fract_x
_atom_site_fract_y
_atom_site_fract_z
Li1 0.500 0.000 0.500
Li2 0.000 0.500 0.000
Tb1 0.022 0.922 0.248
Tb2 0.522 0.578 0.748
Tb3 0.978 0.078 0.752
Tb4 0.478 0.422 0.252
Cr1 0.500 0.000 0.000
Cr2 0.000 0.500 0.500
O1 0.325 0.711 0.059
O2 0.825 0.789 0.559
O3 0.675 0.289 0.941
O4 0.175 0.211 0.441
O5 0.295 0.679 0.448
O6 0.795 0.821 0.948
O7 0.705 0.321 0.552
O8 0.205 0.179 0.052
O9 0.895 0.533 0.263
O10 0.395 0.967 0.763
O11 0.105 0.467 0.737
O12 0.605 0.033 0.237
```